(1)
# LiIr2Pt PBE-GGA relaxed
# ΔH_f (0 K) = -0.005 eV/atom
# E = -6.424 eV/atom
data_LiIr2Pt
_chemical_formula_sum 'Li1 Ir2 Pt1'
_space_group_name_H-M_alt 'P m m m'
_space_group_IT_number 47
_cell_length_a 2.7187
_cell_length_b 3.9596
_cell_length_c 5.2813
_cell_angle_alpha 90.00
_cell_angle_beta 90.00
_cell_angle_gamma 90.00
loop_
_space_group_symop_operation_xyz
'x,y,z'
'-x,-y,-z'
'-x,-y,z'
'x,y,-z'
'x,-y,-z'
'-x,y,z'
'-x,y,-z'
'x,-y,z'
loop_
_atom_site_label
_atom_site_type_symbol
_atom_site_fract_x
_atom_site_fract_y
_atom_site_fract_z
Li1 Li 0.0000 0.0000 0.0000
Ir1 Ir 0.5000 0.5000 0.2403
Pt1 Pt 0.0000 0.0000 0.5000


(2)
# LiIr2Pt PBE-GGA relaxed
# ΔH_f (0 K) = -0.114 eV/atom
# E = -6.533 eV/atom
data_LiIr2Pt
_chemical_formula_sum 'Li3 Ir6 Pt3'
_space_group_name_H-M_alt 'R 3 m'
_space_group_IT_number 160
_space_group_name_Hall 'R 3 -2"'
_cell_length_a 2.7286
_cell_length_b 2.7286
_cell_length_c 27.0310
_cell_angle_alpha 90.00
_cell_angle_beta 90.00
_cell_angle_gamma 120.00
loop_
_atom_site_label
_atom_site_type_symbol
_atom_site_fract_x
_atom_site_fract_y
_atom_site_fract_z
Li1 Li 0.0000 0.0000 0.0000
Ir1 Ir 0.0000 0.0000 0.4980
Ir2 Ir 0.0000 0.0000 0.7506
Pt1 Pt 0.0000 0.0000 0.2523


(3)
# LiIr3Pt PBE-GGA relaxed
# ΔH_f (0 K) = 0.914 eV/atom
# E = -5.994 eV/atom
data_LiIr3Pt
_chemical_formula_sum 'Li1 Ir3 Pt1'
_space_group_name_H-M_alt 'P m -3 m'
_space_group_IT_number 221
_space_group_name_Hall '-P 4 2 3'
_cell_length_a 4.1249
_cell_length_b 4.1249
_cell_length_c 4.1249
_cell_angle_alpha 90.00
_cell_angle_beta 90.00
_cell_angle_gamma 90.00
loop_
_atom_site_label
_atom_site_type_symbol
_atom_site_fract_x
_atom_site_fract_y
_atom_site_fract_z
Li1 Li 0.0000 0.0000 0.0000
Ir1 Ir 0.0000 0.0000 0.5000
Pt1 Pt 0.5000 0.5000 0.5000


Look up the E of the first one. -6.424 eV/atom


Repeat the first record exactly.
# LiIr2Pt PBE-GGA relaxed
# ΔH_f (0 K) = -0.005 eV/atom
# E = -6.424 eV/atom
data_LiIr2Pt
_chemical_formula_sum 'Li1 Ir2 Pt1'
_space_group_name_H-M_alt 'P m m m'
_space_group_IT_number 47
_cell_length_a 2.7187
_cell_length_b 3.9596
_cell_length_c 5.2813
_cell_angle_alpha 90.00
_cell_angle_beta 90.00
_cell_angle_gamma 90.00
loop_
_space_group_symop_operation_xyz
'x,y,z'
'-x,-y,-z'
'-x,-y,z'
'x,y,-z'
'x,-y,-z'
'-x,y,z'
'-x,y,-z'
'x,-y,z'
loop_
_atom_site_label
_atom_site_type_symbol
_atom_site_fract_x
_atom_site_fract_y
_atom_site_fract_z
Li1 Li 0.0000 0.0000 0.0000
Ir1 Ir 0.5000 0.5000 0.2403
Pt1 Pt 0.0000 0.0000 0.5000